PBE Pm3Te2, optimized geometry; polymorph energy (0 for the lowest one) = 0.000 eV/atom; theoretical density = 7.37 g/cm3; formation energy (no corrections) = -1.143 eV per atom
1.0
4.247 0.000 0.000
0.000 12.006 0.000
0.000 0.000 12.200
Pm Te
12 8
Direct
0.750 0.436 0.121
0.750 0.064 0.621
0.250 0.293 0.714
0.250 0.876 0.046
0.750 0.707 0.286
0.250 0.624 0.546
0.250 0.936 0.379
0.250 0.564 0.879
0.750 0.793 0.786
0.750 0.376 0.454
0.250 0.207 0.214
0.750 0.124 0.954
0.250 0.504 0.307
0.250 0.996 0.807
0.750 0.004 0.193
0.750 0.817 0.528
0.250 0.317 0.972
0.250 0.183 0.472
0.750 0.496 0.693
0.750 0.683 0.028

=====

PBE In2AsAu, optimized geometry; polymorph energy (0 for the lowest one) = 0.132 eV/atom; theoretical density = 9.03 g/cm3; formation enthalpy at 0 K = 0.10 eV per formula unit
1.0
-0.144 6.059 -0.855
-3.504 -2.687 -2.187
-3.405 1.736 1.601
Au As In
1 1 2
Direct
0.500 0.500 0.000
0.000 0.500 0.500
0.000 0.000 0.000
0.500 0.000 0.500

=====

PBE CsHg3Pt, optimized geometry; polymorph energy (0 for the lowest one) = 1.157 eV/atom; theoretical density = 4.42 g/cm3; formation enthalpy at 0 K = 4.27 eV per formula unit
1.0
7.042 0.000 0.000
0.000 7.042 0.000
0.000 0.000 7.042
Hg Pt Cs
3 1 1
Direct
0.000 0.000 0.500
0.500 0.000 0.000
0.000 0.500 0.000
0.500 0.500 0.500
0.000 0.000 0.000

=====

PBE Ca2Ni4Sn3, optimized geometry; theoretical density = 6.62 g/cm3; formation enthalpy at 0 K = -3.18 eV per formula unit
1.0
6.012 0.000 0.000
0.000 6.948 0.000
-3.006 0.000 8.058
Ni Sn Ca
8 6 4
Direct
0.336 0.498 0.672
0.328 0.250 0.157
0.164 0.998 0.328
0.672 0.750 0.843
0.664 0.502 0.328
0.172 0.750 0.843
0.836 0.002 0.672
0.828 0.250 0.157
0.508 0.750 0.517
0.008 0.750 0.517
0.500 0.500 0.000
0.000 0.000 0.000
0.992 0.250 0.483
0.492 0.250 0.483
0.098 0.587 0.196
0.598 0.913 0.196
0.402 0.087 0.804
0.902 0.413 0.804

=====

| no. | spin magnetization (μB/cell) |
| --- | --- |
| 1 | 0.001 |
| 2 | 0.000 |
| 3 | 1.000 |
| 4 | 0.000 |